Entry from OQMD: an optimized crystal structure of NaZrBPt (PBE).

Values from the calculation:
The value obtained for the offset from the most stable computed form is 14 meV/atom. The electronic total energy is -5.485 eV per atom. The total moment is 0.00 μB per cell. As for the density: 8.218 Mg/m³.

a b c (Å): 4.506 4.506 4.506
angles (deg): 60.00 60.00 60.00
Element x y z (fractional)
Pt 0.500 0.500 0.500
Na 0.750 0.750 0.750
B 0.000 0.000 0.000
Zr 0.250 0.250 0.250